No. 1
# Pu3Si4Ir2, relaxed, DFT PBE
# **Density of states at the Fermi level**: 56.14 states/eV per cell
# **Spin magnetization**: 15.5 μB/f.u.
# **Formation energy from raw total energies**: -0.632 eV/atom
data_Pu3Si4Ir2
_chemical_formula_sum 'Pu6 Si8 Ir4'
_cell_length_a 10.794
_cell_length_b 4.120
_cell_length_c 8.410
_cell_angle_alpha 90.00
_cell_angle_beta 114.11
_cell_angle_gamma 90.00
_space_group_name_H-M_alt 'C 1 2/m 1'
_space_group_IT_number 12
loop_
_space_group_symop_operation_xyz
'x,y,z'
'-x,-y,-z'
'-x,y,-z'
'x,-y,z'
'x+1/2,y+1/2,z'
'-x+1/2,-y+1/2,-z'
'-x+1/2,y+1/2,-z'
'x+1/2,-y+1/2,z'
loop_
_atom_site_label
_atom_site_fract_x
_atom_site_fract_y
_atom_site_fract_z
Pu1 0.000 0.000 0.000
Pu2 0.108 0.500 0.677
Si1 0.130 0.000 0.422
Si2 0.231 0.500 0.063
Ir1 0.162 0.500 0.298


No. 2
# KAg3Se, relaxed, DFT PBE
# **Density of states at the Fermi level**: 1.79 states/eV per cell
# **Energy above the most stable polymorph in this dataset**: 0.0 meV per atom
# **Spin magnetization**: 0.0 μB/f.u.
# **Formation energy from raw total energies**: 0.126 eV/atom
data_KAg3Se
_chemical_formula_sum 'K1 Ag3 Se1'
_cell_length_a 5.299
_cell_length_b 5.299
_cell_length_c 5.299
_cell_angle_alpha 90.00
_cell_angle_beta 90.00
_cell_angle_gamma 90.00
_space_group_name_H-M_alt 'P m -3 m'
_space_group_IT_number 221
_space_group_name_Hall '-P 4 2 3'
loop_
_atom_site_label
_atom_site_fract_x
_atom_site_fract_y
_atom_site_fract_z
K1 0.000 0.000 0.000
Ag1 0.000 0.500 0.500
Se1 0.500 0.500 0.500


No. 3
# NaAc8Tl6, relaxed, DFT PBE
# **Density of states at the Fermi level**: 60.19 states/eV per cell
# **Spin magnetization**: 0.0 μB/f.u.
# **Energy of formation from the pure elements**: -154 meV/atom
data_NaAc8Tl6
_chemical_formula_sum 'Na3 Ac24 Tl18'
_cell_length_a 9.9314
_cell_length_b 9.9314
_cell_length_c 20.8753
_cell_angle_alpha 90.00
_cell_angle_beta 90.00
_cell_angle_gamma 120.00
_space_group_name_H-M_alt 'R -3'
_space_group_IT_number 148
_space_group_name_Hall '-R 3'
loop_
_atom_site_label
_atom_site_fract_x
_atom_site_fract_y
_atom_site_fract_z
Na1 0.0000 0.0000 0.0000
Ac1 0.0000 0.0000 0.3347
Ac2 0.0028 0.3219 0.1093
Tl1 0.0018 0.3318 0.9428


No. 4
# YW2Se, relaxed, DFT PBE
# **Density of states at the Fermi level**: 2.44 states/eV per cell
# **Spin magnetization**: 0.0 μB/f.u.
# **Formation energy from raw total energies**: 0.247 eV/atom
data_YW2Se
_chemical_formula_sum 'Y1 W2 Se1'
_cell_length_a 3.843
_cell_length_b 3.843
_cell_length_c 5.253
_cell_angle_alpha 90.00
_cell_angle_beta 90.00
_cell_angle_gamma 90.00
_space_group_name_H-M_alt 'P 4/m m m'
_space_group_IT_number 123
_space_group_name_Hall '-P 4 2'
loop_
_atom_site_label
_atom_site_fract_x
_atom_site_fract_y
_atom_site_fract_z
Y1 0.000 0.000 0.000
W1 0.000 0.500 0.500
Se1 0.500 0.500 0.000


Calculated E_tot (Ry/atom), listed in the same order as above: -0.71943; -0.18380; -0.24839; -0.64070